Computed, not measured: a geometry-optimized Sm4Dy3Th structure at the GGA-PBE level of DFT.

a b c (Å): 3.467 6.825 11.874
angles (deg): 106.55 98.39 90.00
Fractional coordinates of all 8 atoms:
Sm1 0.878 0.638 0.755
Sm2 0.258 0.763 0.517
Sm3 0.742 0.237 0.483
Sm4 0.122 0.362 0.245
Dy1 0.877 0.116 0.755
Dy2 0.000 0.500 0.000
Dy3 0.123 0.884 0.245
Th1 0.500 0.000 0.000

For the density of states at the Fermi level, the calculation gives 14.05 states/eV/f.u. The calculation puts the energy above the lowest structure with this stoichiometry at 130 meV/atom. For the total energy, the calculation gives -4.84 eV per atom. The formation energy comes out at 171 meV per atom.

Computed, not measured: a geometry-optimized SrLiP2Os structure at the GGA-PBE level of DFT.

a b c (Å): 4.024 4.024 6.403
angles (deg): 108.31 108.31 90.00
Fractional coordinates of all 5 atoms:
Os1 0.750 0.250 0.500
P1 0.354 0.354 0.709
P2 0.646 0.646 0.291
Sr1 0.000 0.000 0.000
Li1 0.250 0.750 0.500

For the density of states at the Fermi level, the calculation gives 2.13 states/eV/f.u. For the total energy, the calculation gives -5.78 eV per atom. The formation energy comes out at -649 meV per atom.

Computed, not measured: a geometry-optimized CsNa2MgAg structure at the GGA-PBE level of DFT.

a b c (Å): 7.097 7.163 7.097
angles (deg): 90.00 90.00 90.00
Fractional coordinates of all 5 atoms:
Cs1 0.000 0.000 0.000
Na1 0.000 0.000 0.500
Na2 0.500 0.000 0.000
Ag1 0.500 0.500 0.500
Mg1 0.000 0.500 0.000

For the density of states at the Fermi level, the calculation gives 2.21 states/eV/f.u. The calculation puts the energy above the lowest structure with this stoichiometry at 840 meV/atom. For the total energy, the calculation gives -0.68 eV per atom. The formation energy comes out at 911 meV per atom.

Computed, not measured: a geometry-optimized Tl3PO6 structure at the GGA-PBE level of DFT.

a b c (Å): 5.705 7.727 7.727
angles (deg): 114.78 90.00 90.00
Fractional coordinates of all 20 atoms:
Tl1 0.025 0.070 0.264
Tl2 0.525 0.930 0.736
Tl3 0.525 0.264 0.070
Tl4 0.515 0.422 0.578
Tl5 0.015 0.578 0.422
Tl6 0.025 0.736 0.930
O1 0.276 0.323 0.322
O2 0.610 0.567 0.133
O3 0.208 0.723 0.277
O4 0.967 0.124 0.876
O5 0.776 0.322 0.323
O6 0.708 0.277 0.723
O7 0.110 0.133 0.567
O8 0.467 0.876 0.124
O9 0.776 0.677 0.678
O10 0.110 0.433 0.867
O11 0.276 0.678 0.677
O12 0.610 0.867 0.433
P1 0.975 0.243 0.757
P2 0.475 0.757 0.243

For the total energy, the calculation gives -5.42 eV per atom. The raw formation energy is -1.193 eV per atom.

> What is the formula in the first record?

Sm4Dy3Th